The following is a PBE calculation of a relaxed CoTe3Se crystal, from Alexandria.

Unit cell a=4.994 b=4.994 c=4.994 alpha=90.00 beta=90.00 gamma=90.00
Element x y z (fractional)
Co (0.000, 0.000, 0.000)
Te (0.000, 0.000, 0.500)
Te (0.000, 0.500, 0.000)
Te (0.500, 0.000, 0.000)
Se (0.500, 0.500, 0.500)

Values from the calculation:
* offset from the most stable computed form: 0.00 kcal/mol of atoms
* density of states at the Fermi level: 1.2341 states/eV per atom
* E: -3.574 eV/atom
* uncorrected formation energy: 0.4294 eV per atom